(1)
Material: MnPPt
Method: DFT, PBE-GGA
State: relaxed

a = 4.0089 Å, b = 4.0089 Å, c = 3.2666 Å
α = 90.00°, β = 90.00°, γ = 120.00°
Space group P-6m2 (No. 187)
One atom of each set of equivalent atoms:
Mn 0.0000 0.0000 0.0000 (multiplicity 1)
P 0.6667 0.3333 0.5000 (multiplicity 1)
Pt 0.3333 0.6667 0.5000 (multiplicity 1)

Output
Raw total energy   -7.16 eV/atom
ρ   10.263 g/cm³
Formation energy   -0.2837 eV/atom

---

(2)
Material: Na6Au3O
Method: DFT, PBE-GGA
State: relaxed

a = 10.915 Å, b = 6.713 Å, c = 6.627 Å
α = 90.00°, β = 104.62°, γ = 90.00°
Space group C2/m (No. 12)
One atom of each set of equivalent atoms:
Na 0.099 0.235 0.359 (multiplicity 8)
Na 0.161 0.000 0.812 (multiplicity 4)
Au 0.000 0.500 0.000 (multiplicity 2)
Au 0.171 0.500 0.748 (multiplicity 4)
O 0.000 0.000 0.500 (multiplicity 2)

Output
Raw total energy   -2.79 eV/atom
Formation energy (no corrections)   -0.52 eV/atom
ρ   5.265 g/cm³

---

> Which value of raw total energy does entry 2 give?

-2.79 eV/atom

---

> Among the records above, which one has the lowest ρ?

Na6Au3O

---

> Which value of raw total energy does entry 1 give?

-7.16 eV/atom

---

> Number 1 is which compound?

MnPPt